Material: NiW
Method: DFT, PBE
State: relaxed

Computed properties:
Uncorrected energy ... -18.3 eV/f.u.
Formation enthalpy at 0 K ... 0.22 eV/atom

a = 4.4391 Å, b = 2.8933 Å, c = 4.4721 Å
α = 90.00°, β = 105.17°, γ = 90.00°
Closest atoms and distances in Å follow each position.
Space group C2/m (No. 12)
Symmetry-distinct sites (fractional):
Ni 0.0000 0.0000 0.0000 x2  6 Ni 2.65-2.89, 6 W 2.66-2.71
W 0.0000 0.5000 0.5000 x2  6 W 2.65-2.89, 6 Ni 2.66-2.71

---

Material: CsBa2TiH
Method: DFT, PBE
State: relaxed

Computed properties:
Uncorrected energy ... -10.5 eV/f.u.

a = 6.9437 Å, b = 6.9437 Å, c = 4.6657 Å
α = 90.00°, β = 90.00°, γ = 90.00°
Closest atoms and distances in Å follow each position.
Space group P4/mmm (No. 123)
Symmetry-distinct sites (fractional):
Cs 0.0000 0.0000 0.0000 x1  2 H 2.33
Ba 0.0000 0.5000 0.0000 x2  2 Cs 3.47
Ti 0.5000 0.5000 0.5000 x1  8 Ba 4.18, 2 Ti 4.67
H 0.0000 0.0000 0.5000 x1  2 Cs 2.33

---

Material: CdGeAs
Method: DFT, PBE
State: relaxed

Computed properties:
Offset from the most stable computed form ... 0 meV per atom
Uncorrected energy ... -10.0 eV/f.u.
Formation enthalpy at 0 K ... 0.05 eV/atom

a = 3.8321 Å, b = 4.9683 Å, c = 7.7200 Å
α = 96.08°, β = 94.54°, γ = 94.59°
Closest atoms and distances in Å follow each position.
Space group P1 (No. 1)
Symmetry-distinct sites (fractional):
Cd 0.0000 0.0000 0.0000 x1  2 As 2.68-2.79, 1 Cd 2.93
Cd 0.4844 0.6379 0.7663 x1  2 As 2.68-2.79, 1 Cd 2.93
Ge 0.7402 0.5619 0.3348 x1  2 As 2.52, 2 Ge 2.59
Ge 0.7478 0.0773 0.4306 x1  2 As 2.52, 2 Ge 2.59
As 0.2016 0.5201 0.1205 x1  2 Ge 2.52, 2 Cd 2.68-2.79
As 0.2863 0.1177 0.6448 x1  2 Ge 2.52, 2 Cd 2.68-2.79

---

Material: ReHgSb
Method: DFT, PBE
State: relaxed

Computed properties:
Offset from the most stable computed form ... 0 meV per atom
ΔE_f (raw) ... 600 meV per atom
Uncorrected energy ... -15.1 eV/f.u.

a = 3.1801 Å, b = 3.1801 Å, c = 7.3204 Å
α = 90.00°, β = 90.00°, γ = 120.00°
Closest atoms and distances in Å follow each position.
Space group P3m1 (No. 156)
Symmetry-distinct sites (fractional):
Re 0.0000 0.0000 0.0000 x1  3 Sb 2.69, 3 Hg 2.96
Hg 0.3333 0.6667 0.6834 x1  3 Re 2.96, 6 Hg 3.18
Sb 0.6667 0.3333 0.2678 x1  3 Re 2.69

---

Material: NpPaRhAu
Method: DFT, PBE
State: relaxed

Computed properties:
Uncorrected energy ... -34.9 eV/f.u.
Formation enthalpy at 0 K ... -0.46 eV/atom

a = 6.7573 Å, b = 6.7573 Å, c = 6.7573 Å
α = 90.00°, β = 90.00°, γ = 90.00°
Closest atoms and distances in Å follow each position.
Space group F-43m (No. 216)
Symmetry-distinct sites (fractional):
Np 0.0000 0.0000 0.0000 x4  4 Pa 2.93, 4 Au 2.93
Pa 0.2500 0.2500 0.2500 x4  4 Np 2.93, 4 Rh 2.93
Rh 0.0000 0.0000 0.5000 x4  4 Pa 2.93, 4 Au 2.93
Au 0.2500 0.2500 0.7500 x4  4 Np 2.93, 4 Rh 2.93

---

Material: NpNiGe2
Method: DFT, PBE
State: relaxed

Computed properties:
Uncorrected energy ... -28.3 eV/f.u.
Formation enthalpy at 0 K ... -0.10 eV/atom

a = 3.1027 Å, b = 3.1027 Å, c = 7.0470 Å
α = 90.00°, β = 90.00°, γ = 90.00°
Closest atoms and distances in Å follow each position.
Space group P4/mmm (No. 123)
Symmetry-distinct sites (fractional):
Np 0.0000 0.0000 0.0000 x1  8 Ge 3.07, 4 Np 3.10
Ni 0.0000 0.0000 0.5000 x1  8 Ge 2.59
Ge 0.5000 0.5000 0.3037 x2  4 Ni 2.59, 1 Ge 2.77

---

Material: Nd8In2Ag3
Method: DFT, PBE
State: relaxed

Computed properties:
Uncorrected energy ... -53.1 eV/f.u.
Formation enthalpy at 0 K ... -0.07 eV/atom

a = 15.3915 Å, b = 8.2349 Å, c = 6.5661 Å
α = 90.00°, β = 97.28°, γ = 90.00°
Closest atoms and distances in Å follow each position.
Space group C2/m (No. 12)
Symmetry-distinct sites (fractional):
Nd 0.0901 0.0000 0.3877 x4  1 In 3.17, 2 Ag 3.21, 1 Nd 3.30
Nd 0.1100 0.2067 0.8890 x8  2 Ag 3.06-3.09, 2 In 3.16-3.29, 1 Nd 3.40
Nd 0.1787 0.5000 0.3257 x4  3 Ag 3.26-3.40, 2 In 3.31-3.49
In 0.2367 0.5000 0.8284 x4  7 Nd 3.16-3.49
Ag 0.0000 0.3336 0.5000 x4  1 Ag 2.74, 2 Nd 3.06
Ag 0.0000 0.5000 0.0000 x2  6 Nd 3.09-3.26

---

Material: TlP3Pb
Method: DFT, PBE
State: relaxed

Computed properties:
Offset from the most stable computed form ... 0 meV per atom
Uncorrected energy ... -20.8 eV/f.u.
Formation enthalpy at 0 K ... 0.30 eV/atom

a = 3.2705 Å, b = 12.4668 Å, c = 11.9227 Å
α = 90.00°, β = 90.00°, γ = 90.00°
Closest atoms and distances in Å follow each position.
Space group Cmcm (No. 63)
Symmetry-distinct sites (fractional):
Tl 0.0000 0.2090 0.2500 x4  6 P 3.08-3.11, 2 Tl 3.27
P 0.0000 0.2091 0.5450 x8  2 P 2.21
P 0.0000 0.4992 0.2500 x4  2 Pb 2.98, 2 Tl 3.08, 2 P 3.27
Pb 0.0000 0.5000 0.0000 x4  6 P 2.98-3.12, 2 Pb 3.27

---

Material: In2TePdPb
Method: DFT, PBE
State: relaxed

Computed properties:
Offset from the most stable computed form ... 0 meV per atom
ΔE_f (raw) ... -213 meV per atom
Uncorrected energy ... -18.6 eV/f.u.

a = 5.2115 Å, b = 5.2115 Å, c = 5.4601 Å
α = 90.00°, β = 90.00°, γ = 90.00°
Closest atoms and distances in Å follow each position.
Space group P4/mmm (No. 123)
Symmetry-distinct sites (fractional):
In 0.0000 0.5000 0.0000 x2  2 Pd 2.61
Te 0.0000 0.0000 0.5000 x1  4 Pb 3.69, 8 In 3.77
Pd 0.5000 0.5000 0.0000 x1  4 In 2.61, 2 Pb 2.73
Pb 0.5000 0.5000 0.5000 x1  2 Pd 2.73

---

Material: ScNi
Method: DFT, PBE
State: relaxed

Computed properties:
Uncorrected energy ... -12.7 eV/f.u.
Formation enthalpy at 0 K ... -0.32 eV/atom

a = 7.9403 Å, b = 7.9403 Å, c = 4.2868 Å
α = 90.00°, β = 90.00°, γ = 90.00°
Closest atoms and distances in Å follow each position.
Space group I4/mmm (No. 139)
Symmetry-distinct sites (fractional):
Sc 0.0000 0.2823 0.0000 x8  6 Ni 2.68-2.69
Ni 0.1648 0.1648 0.5000 x8  4 Ni 2.62-2.87, 6 Sc 2.68-2.69

---

Material: ScMn4Rh
Method: DFT, PBE
State: relaxed

Computed properties:
Uncorrected energy ... -50.6 eV/f.u.
Formation enthalpy at 0 K ... -0.04 eV/atom

a = 6.7566 Å, b = 6.7566 Å, c = 6.7566 Å
α = 90.00°, β = 90.00°, γ = 90.00°
Closest atoms and distances in Å follow each position.
Space group F-43m (No. 216)
Symmetry-distinct sites (fractional):
Sc 0.0000 0.0000 0.0000 x4  12 Mn 2.80, 4 Rh 2.93
Mn 0.1266 0.1266 0.6266 x16  6 Mn 2.36-2.42
Rh 0.2500 0.2500 0.2500 x4  12 Mn 2.80, 4 Sc 2.93

---

Material: MnV2As
Method: DFT, PBE
State: relaxed

Computed properties:
Uncorrected energy ... -31.0 eV/f.u.
Formation enthalpy at 0 K ... 0.25 eV/atom

a = 6.6478 Å, b = 6.6478 Å, c = 5.1026 Å
α = 90.00°, β = 90.00°, γ = 90.00°
Closest atoms and distances in Å follow each position.
Space group I-42d (No. 122)
Symmetry-distinct sites (fractional):
Mn 0.0000 0.0000 0.0000 x4  4 V 2.26
V 0.2099 0.2500 0.1250 x8  2 Mn 2.26
As 0.0000 0.0000 0.5000 x4  2 Mn 2.55, 4 V 2.62

---

Material: InSiSe2
Method: DFT, PBE
State: relaxed

Computed properties:
ΔE_f (raw) ... -111 meV per atom
Uncorrected energy ... -15.6 eV/f.u.

a = 4.0819 Å, b = 4.0710 Å, c = 5.6306 Å
α = 90.00°, β = 90.11°, γ = 90.00°
Closest atoms and distances in Å follow each position.
Space group P2/m (No. 10)
Symmetry-distinct sites (fractional):
In 0.0000 0.0000 0.0000 x1  6 Se 2.82-2.88
Si 0.5000 0.5000 0.5000 x1  6 Se 2.82-2.88
Se 0.0000 0.0000 0.5000 x1  2 In 2.82, 4 Si 2.88
Se 0.5000 0.5000 0.0000 x1  2 Si 2.82, 4 In 2.88

---

Material: Na2Hf2NpTe6
Method: DFT, PBE
State: relaxed

Computed properties:
ΔE_f (raw) ... -815 meV per atom
Uncorrected energy ... -63.3 eV/f.u.

a = 7.2293 Å, b = 12.6094 Å, c = 8.0967 Å
α = 90.00°, β = 106.87°, γ = 90.00°
Closest atoms and distances in Å follow each position.
Space group C2/m (No. 12)
Symmetry-distinct sites (fractional):
Na 0.0000 0.1583 0.0000 x4  6 Te 3.21-3.25
Hf 0.0000 0.3317 0.5000 x4  6 Te 2.92-2.93
Np 0.0000 0.0000 0.5000 x2  6 Te 3.09-3.11
Te 0.2160 0.5000 0.7237 x4  2 Hf 2.93, 1 Np 3.11, 2 Na 3.25
Te 0.2496 0.1752 0.7260 x8  2 Hf 2.92-2.93, 1 Np 3.09, 2 Na 3.21-3.25

---

Material: ErTmZnGe
Method: DFT, PBE
State: relaxed

Computed properties:
Offset from the most stable computed form ... 110 meV per atom
Uncorrected energy ... -17.0 eV/f.u.
Formation enthalpy at 0 K ... -0.51 eV/atom

a = 7.0170 Å, b = 7.0170 Å, c = 7.0170 Å
α = 90.00°, β = 90.00°, γ = 90.00°
Closest atoms and distances in Å follow each position.
Space group F-43m (No. 216)
Symmetry-distinct sites (fractional):
Er 0.0000 0.0000 0.0000 x4  4 Zn 3.04, 4 Ge 3.04
Tm 0.0000 0.0000 0.5000 x4  4 Ge 3.04, 4 Zn 3.04
Zn 0.2500 0.2500 0.2500 x4  4 Er 3.04, 4 Tm 3.04
Ge 0.2500 0.2500 0.7500 x4  4 Er 3.04, 4 Tm 3.04

---

Material: ZrNi2Ag
Method: DFT, PBE
State: relaxed

Computed properties:
Offset from the most stable computed form ... 131 meV per atom
Uncorrected energy ... -23.2 eV/f.u.
Formation enthalpy at 0 K ... -0.06 eV/atom

a = 3.3636 Å, b = 3.4088 Å, c = 5.4443 Å
α = 90.00°, β = 90.00°, γ = 90.00°
Closest atoms and distances in Å follow each position.
Space group Pmm2 (No. 25)
Symmetry-distinct sites (fractional):
Zr 0.0000 0.0000 0.0000 x1  5 Ni 2.44-2.67
Ni 0.0000 0.0000 0.4481 x1  1 Zr 2.44, 4 Ni 2.70, 4 Ag 2.73
Ni 0.5000 0.5000 0.2171 x1  1 Ag 2.56, 4 Zr 2.67, 4 Ni 2.70
Ag 0.5000 0.5000 0.6875 x1  5 Ni 2.56-2.73

---

Material: RbNpGa2I8
Method: DFT, PBE
State: relaxed

Computed properties:
ΔE_f (raw) ... -665 meV per atom
Uncorrected energy ... -40.3 eV/f.u.

a = 7.5783 Å, b = 7.7252 Å, c = 10.1353 Å
α = 85.29°, β = 80.49°, γ = 84.49°
Closest atoms and distances in Å follow each position.
Space group P-1 (No. 2)
Symmetry-distinct sites (fractional):
Rb 0.0000 0.0000 0.0000 x1  6 I 3.67-3.75
Np 0.0000 0.0000 0.5000 x1  6 I 2.95-3.03
Ga 0.4507 0.4822 0.2193 x2  3 I 2.92-3.15
I 0.2155 0.2987 0.4954 x2  1 Np 2.95
I 0.2177 0.8016 0.6912 x2  1 Np 2.98
I 0.2711 0.8607 0.2716 x2  1 Np 3.03, 1 Ga 3.15
I 0.2810 0.3729 0.0046 x2  2 Ga 2.92-3.00

---

Material: ThZrAs2
Method: DFT, PBE
State: relaxed

Computed properties:
Offset from the most stable computed form ... 77 meV per atom
Uncorrected energy ... -29.9 eV/f.u.
Formation enthalpy at 0 K ... -1.16 eV/atom

a = 4.0103 Å, b = 4.0103 Å, c = 20.8035 Å
α = 90.00°, β = 90.00°, γ = 120.00°
Closest atoms and distances in Å follow each position.
Space group R3m (No. 160, hexagonal axes)
Symmetry-distinct sites (fractional):
Th 0.0000 0.0000 0.0000 x3  6 As 2.92-3.05
Zr 0.0000 0.0000 0.8228 x3  6 As 2.74-2.87
As 0.0000 0.0000 0.4189 x3  3 Zr 2.74, 3 Th 2.92
As 0.0000 0.0000 0.5711 x3  3 Zr 2.87, 3 Th 3.05, 1 As 3.16

---

Material: Dy2YHo9
Method: DFT, PBE
State: relaxed

Computed properties:
Offset from the most stable computed form ... 29 meV per atom
Uncorrected energy ... -56.3 eV/f.u.
Formation enthalpy at 0 K ... 0.05 eV/atom

a = 11.1568 Å, b = 11.1568 Å, c = 3.4862 Å
α = 90.00°, β = 90.00°, γ = 120.00°
Closest atoms and distances in Å follow each position.
Space group P6/mmm (No. 191)
Symmetry-distinct sites (fractional):
Dy 0.3333 0.6667 0.0000 x2  9 Ho 3.22-3.50, 2 Dy 3.49
Y 0.0000 0.0000 0.0000 x1  2 Y 3.49, 12 Ho 3.83
Ho 0.0000 0.5000 0.0000 x3  2 Dy 3.22, 10 Ho 3.49-3.58
Ho 0.1765 0.3530 0.5000 x6  8 Ho 3.41-3.58, 2 Dy 3.50

---

Material: La4SiSbTe2
Method: DFT, PBE
State: relaxed

Computed properties:
ΔE_f (raw) ... -1338 meV per atom
Uncorrected energy ... -46.2 eV/f.u.

a = 7.8982 Å, b = 4.5389 Å, c = 7.9276 Å
α = 90.00°, β = 109.21°, γ = 90.00°
Closest atoms and distances in Å follow each position.
Space group P2/m (No. 10)
Symmetry-distinct sites (fractional):
La 0.2327 0.0000 0.2285 x2  2 Si 3.10, 1 Sb 3.20, 3 Te 3.26-3.35
La 0.2436 0.5000 0.7658 x2  1 Si 3.08, 2 Sb 3.20, 3 Te 3.26-3.37
Si 0.0000 0.5000 0.0000 x1  6 La 3.08-3.10
Sb 0.5000 0.0000 0.0000 x1  6 La 3.20
Te 0.0000 0.0000 0.5000 x1  6 La 3.26
Te 0.5000 0.5000 0.5000 x1  6 La 3.35-3.37

---

Material: BaMg2Pb
Method: DFT, PBE
State: relaxed

Computed properties:
Uncorrected energy ... -9.2 eV/f.u.
Formation enthalpy at 0 K ... -0.08 eV/atom

a = 3.7841 Å, b = 4.4465 Å, c = 7.7120 Å
α = 90.00°, β = 90.00°, γ = 90.00°
Closest atoms and distances in Å follow each position.
Space group Pmmm (No. 47)
Symmetry-distinct sites (fractional):
Ba 0.0000 0.0000 0.0000 x1  8 Mg 3.72, 2 Ba 3.78, 2 Pb 3.86
Mg 0.5000 0.5000 0.2983 x2  1 Mg 3.11, 4 Pb 3.31
Pb 0.0000 0.0000 0.5000 x1  8 Mg 3.31

---

Material: TbLuIr4
Method: DFT, PBE
State: relaxed

Computed properties:
Uncorrected energy ... -49.5 eV/f.u.
Formation enthalpy at 0 K ... -0.81 eV/atom

a = 7.5543 Å, b = 7.5543 Å, c = 7.5543 Å
α = 90.00°, β = 90.00°, γ = 90.00°
Closest atoms and distances in Å follow each position.
Space group F-43m (No. 216)
Symmetry-distinct sites (fractional):
Tb 0.0000 0.0000 0.0000 x4  12 Ir 3.13, 4 Lu 3.27
Lu 0.2500 0.2500 0.7500 x4  12 Ir 3.13, 4 Tb 3.27
Ir 0.1249 0.1249 0.3751 x16  6 Ir 2.67

---

Material: Cr2Os
Method: DFT, PBE
State: relaxed

Computed properties:
Uncorrected energy ... -29.1 eV/f.u.
Formation enthalpy at 0 K ... 0.46 eV/atom

a = 2.6940 Å, b = 4.1129 Å, c = 14.4101 Å
α = 90.00°, β = 90.00°, γ = 90.00°
Closest atoms and distances in Å follow each position.
Space group Imma (No. 74)
Symmetry-distinct sites (fractional):
Cr 0.0000 0.2500 0.0286 x4  3 Cr 2.22-2.31
Cr 0.0000 0.2500 0.1888 x4  3 Cr 2.22-2.31
Os 0.0000 0.2500 0.6265 x4  10 Cr 2.61-2.83, 2 Os 2.69

---

Material: BaAg2SbTe4
Method: DFT, PBE
State: relaxed

Computed properties:
ΔE_f (raw) ... -432 meV per atom
Uncorrected energy ... -27.8 eV/f.u.

a = 7.6114 Å, b = 8.2298 Å, c = 8.9992 Å
α = 90.00°, β = 90.00°, γ = 90.00°
Closest atoms and distances in Å follow each position.
Space group I222 (No. 23)
Symmetry-distinct sites (fractional):
Ba 0.0000 0.0000 0.0000 x2  8 Te 3.66-3.67
Ag 0.0000 0.5000 0.1688 x4  2 Te 2.74, 1 Ag 3.04
Sb 0.0000 0.0000 0.5000 x2  4 Te 2.90
Te 0.2166 0.2037 0.3117 x8  1 Ag 2.74, 1 Sb 2.90

---

Material: Tm5Fe2Ag
Method: DFT, PBE
State: relaxed

Computed properties:
Uncorrected energy ... -43.2 eV/f.u.
Formation enthalpy at 0 K ... -0.13 eV/atom

a = 7.2549 Å, b = 7.2549 Å, c = 14.0710 Å
α = 90.00°, β = 90.00°, γ = 90.00°
Closest atoms and distances in Å follow each position.
Space group I4/mcm (No. 140)
Symmetry-distinct sites (fractional):
Tm 0.0000 0.0000 0.0000 x4  4 Fe 2.94, 8 Tm 3.30
Tm 0.1734 0.3266 0.1361 x16  3 Fe 2.84-2.94, 2 Ag 3.13
Fe 0.1093 0.3907 0.5000 x8  1 Fe 2.24
Ag 0.0000 0.0000 0.2500 x4  8 Tm 3.13